## NaAlSeN2 (GGA-PBE)

Data for an optimized crystal structure of NaAlSeN2.

abc: 3.917 3.917 5.299
angles: 90.00 90.00 90.00
Fractional positions:
Na  0.000  0.000  0.000
Al  0.500  0.500  0.500
Se  0.500  0.500  0.000
N  0.000  0.500  0.500
N  0.500  0.000  0.500

VASP energy: -22.95 eV per cell
magnetization: 3.47 μB per formula unit
energy above the most stable polymorph in this dataset: 0 meV/atom
uncorrected formation energy: 43.4 kJ per mole of atoms
space group: P4/mmm

***

## HfHPdPt2 (GGA-PBE)

Data for an optimized crystal structure of HfHPdPt2.

abc: 4.055 4.055 4.179
angles: 90.00 90.00 90.00
Fractional positions:
Hf  0.000  0.000  0.000
H  0.500  0.500  0.500
Pd  0.500  0.500  0.000
Pt  0.000  0.500  0.500
Pt  0.500  0.000  0.500

VASP energy: -33.43 eV per cell
magnetization: 0.00 μB per formula unit
energy above the most stable polymorph in this dataset: 0 meV/atom
space group: P4/mmm

***

## AlCoCu2 (GGA-PBE)

Data for an optimized crystal structure of AlCoCu2.

abc: 3.034 3.034 5.339
angles: 90.00 90.00 90.00
Fractional positions:
Al  0.000  0.000  0.000
Co  0.000  0.000  0.500
Cu  0.500  0.500  0.258
Cu  0.500  0.500  0.742

VASP energy: -19.07 eV per cell
magnetization: 1.29 μB per formula unit
ΔE_f: 0.0 eV/f.u.
space group: P4/mmm

***

## Tl8Bi2Pd (GGA-PBE)

Data for an optimized crystal structure of Tl8Bi2Pd.

abc: 9.450 9.450 5.738
angles: 105.94 105.94 44.33
Fractional positions:
Tl  0.144  0.144  0.936
Tl  0.164  0.697  0.640
Tl  0.257  0.257  0.543
Tl  0.303  0.836  0.360
Tl  0.697  0.164  0.640
Tl  0.743  0.743  0.457
Tl  0.836  0.303  0.360
Tl  0.856  0.856  0.064
Bi  0.359  0.359  0.124
Bi  0.641  0.641  0.876
Pd  0.500  0.500  0.000

VASP energy: -32.04 eV per cell
magnetization: 0.00 μB per formula unit
ΔE_f: -0.2 eV/f.u.
space group: C2/m

***

## YSc2Te (GGA-PBE)

Data for an optimized crystal structure of YSc2Te.

abc: 3.829 3.829 6.970
angles: 90.00 90.00 90.00
Fractional positions:
Y  0.000  0.000  0.000
Sc  0.000  0.000  0.514
Sc  0.500  0.500  0.275
Te  0.500  0.500  0.728

VASP energy: -24.44 eV per cell
magnetization: 0.00 μB per formula unit
uncorrected formation energy: -52.5 kJ per mole of atoms
space group: P4mm

***

## Sm2CdNi (GGA-PBE)

Data for an optimized crystal structure of Sm2CdNi.

abc: 3.528 3.528 7.748
angles: 90.00 90.00 90.00
Fractional positions:
Sm  0.000  0.000  0.213
Sm  0.000  0.000  0.787
Cd  0.500  0.500  0.500
Ni  0.500  0.500  0.000

VASP energy: -17.35 eV per cell
magnetization: 0.00 μB per formula unit
energy above the most stable polymorph in this dataset: 0 meV/atom
ΔE_f: -1.2 eV/f.u.
space group: P4/mmm

***

## Cs3Tl2Cd3 (GGA-PBE)

Data for an optimized crystal structure of Cs3Tl2Cd3.

abc: 10.378 17.906 7.644
angles: 90.00 90.00 90.00
Fractional positions:
Cs  0.039  0.109  0.118
Cs  0.039  0.391  0.118
Cs  0.200  0.250  0.593
Cs  0.300  0.750  0.093
Cs  0.461  0.609  0.618
Cs  0.461  0.891  0.618
Cs  0.539  0.109  0.382
Cs  0.539  0.391  0.382
Cs  0.700  0.250  0.907
Cs  0.800  0.750  0.407
Cs  0.961  0.609  0.882
Cs  0.961  0.891  0.882
Tl  0.104  0.592  0.389
Tl  0.104  0.908  0.389
Tl  0.396  0.092  0.889
Tl  0.396  0.408  0.889
Tl  0.604  0.592  0.111
Tl  0.604  0.908  0.111
Tl  0.896  0.092  0.611
Tl  0.896  0.408  0.611
Cd  0.153  0.750  0.562
Cd  0.182  0.034  0.640
Cd  0.182  0.466  0.640
Cd  0.318  0.534  0.140
Cd  0.318  0.966  0.140
Cd  0.347  0.250  0.062
Cd  0.653  0.750  0.938
Cd  0.682  0.034  0.860
Cd  0.682  0.466  0.860
Cd  0.818  0.534  0.360
Cd  0.818  0.966  0.360
Cd  0.847  0.250  0.438

VASP energy: -41.89 eV per cell
magnetization: 0.00 μB per formula unit
ΔE_f: -0.4 eV/f.u.
space group: Pnma

***

## Ca3Mg2Tl4 (GGA-PBE)

Data for an optimized crystal structure of Ca3Mg2Tl4.

abc: 6.334 6.334 9.647
angles: 114.84 114.84 47.48
Fractional positions:
Ca  0.000  0.000  0.000
Ca  0.351  0.351  0.319
Ca  0.649  0.649  0.681
Mg  0.344  0.344  0.669
Mg  0.656  0.656  0.331
Tl  0.057  0.057  0.378
Tl  0.266  0.266  0.919
Tl  0.734  0.734  0.081
Tl  0.943  0.943  0.622

VASP energy: -21.18 eV per cell
magnetization: 0.00 μB per formula unit
ΔE_f: -2.5 eV/f.u.
space group: C2/m

***

## CrNi2SbPt (GGA-PBE)

Data for an optimized crystal structure of CrNi2SbPt.

abc: 4.560 4.560 4.936
angles: 90.00 90.00 90.00
Fractional positions:
Cr  0.000  0.000  0.000
Ni  0.000  0.500  0.500
Ni  0.500  0.000  0.500
Sb  0.500  0.500  0.500
Pt  0.500  0.500  0.000

VASP energy: -24.55 eV per cell
magnetization: 0.36 μB per formula unit
uncorrected formation energy: 131.2 kJ per mole of atoms
space group: P4/mmm

***

## SmPa2Si6 (GGA-PBE)

Data for an optimized crystal structure of SmPa2Si6.

abc: 7.051 7.051 3.963
angles: 90.00 90.00 120.00
Fractional positions:
Sm  0.000  0.000  0.000
Pa  0.333  0.667  0.000
Pa  0.667  0.333  0.000
Si  0.000  0.335  0.500
Si  0.000  0.665  0.500
Si  0.335  0.000  0.500
Si  0.335  0.335  0.500
Si  0.665  0.000  0.500
Si  0.665  0.665  0.500

VASP energy: -61.18 eV per cell
magnetization: 0.00 μB per formula unit
uncorrected formation energy: -52.9 kJ per mole of atoms
space group: P6/mmm

***

## Nd2MgTl3 (GGA-PBE)

Data for an optimized crystal structure of Nd2MgTl3.

abc: 6.886 6.886 6.886
angles: 135.60 124.34 73.83
Fractional positions:
Nd  0.178  0.178  0.000
Nd  0.822  0.822  0.000
Mg  0.500  0.500  0.000
Tl  0.000  0.500  0.500
Tl  0.351  0.851  0.500
Tl  0.649  0.149  0.500

VASP energy: -18.98 eV per cell
magnetization: 0.00 μB per formula unit
ΔE_f: -0.7 eV/f.u.
space group: Immm

***

## LaPr2PuS4 (GGA-PBE)

Data for an optimized crystal structure of LaPr2PuS4.

abc: 7.077 4.071 7.095
angles: 90.00 109.30 90.00
Fractional positions:
La  0.000  0.000  0.000
Pr  0.500  0.000  0.500
Pr  0.500  0.500  0.000
Pu  0.000  0.500  0.500
S  0.242  0.000  0.741
S  0.247  0.500  0.255
S  0.753  0.500  0.745
S  0.758  0.000  0.259

VASP energy: -61.32 eV per cell
magnetization: 5.69 μB per formula unit
uncorrected formation energy: -192.9 kJ per mole of atoms
space group: P2/m

***

## Ti2AgBr8 (GGA-PBE)

Data for an optimized crystal structure of Ti2AgBr8.

abc: 8.231 8.231 6.723
angles: 91.48 91.48 80.42
Fractional positions:
Ti  0.201  0.201  0.151
Ti  0.799  0.799  0.849
Ag  0.000  0.000  0.500
Br  0.072  0.706  0.727
Br  0.190  0.190  0.797
Br  0.294  0.928  0.273
Br  0.379  0.379  0.268
Br  0.621  0.621  0.732
Br  0.706  0.072  0.727
Br  0.810  0.810  0.203
Br  0.928  0.294  0.273

VASP energy: -42.93 eV per cell
magnetization: 1.01 μB per formula unit
uncorrected formation energy: -95.7 kJ per mole of atoms
space group: C2/m

***

## PtRhCl2 (GGA-PBE)

Data for an optimized crystal structure of PtRhCl2.

abc: 6.724 6.724 6.724
angles: 153.54 139.46 49.07
Fractional positions:
Pt  0.000  0.000  0.000
Rh  0.500  0.500  0.000
Cl  0.355  0.855  0.500
Cl  0.645  0.145  0.500

VASP energy: -16.24 eV per cell
magnetization: 0.00 μB per formula unit
energy above the most stable polymorph in this dataset: 325 meV/atom
uncorrected formation energy: 20.5 kJ per mole of atoms
space group: Immm

***

## LiLa2GeO5 (GGA-PBE)

Data for an optimized crystal structure of LiLa2GeO5.

abc: 6.921 6.921 5.852
angles: 90.00 90.00 90.00
Fractional positions:
Li  0.000  0.000  0.000
Li  0.500  0.500  0.000
La  0.180  0.320  0.500
La  0.320  0.820  0.500
La  0.680  0.180  0.500
La  0.820  0.680  0.500
Ge  0.000  0.500  0.000
Ge  0.500  0.000  0.000
O  0.000  0.000  0.500
O  0.135  0.635  0.239
O  0.135  0.635  0.761
O  0.365  0.135  0.239
O  0.365  0.135  0.761
O  0.500  0.500  0.500
O  0.635  0.865  0.239
O  0.635  0.865  0.761
O  0.865  0.365  0.239
O  0.865  0.365  0.761

VASP energy: -123.40 eV per cell
magnetization: 0.95 μB per formula unit
uncorrected formation energy: -220.0 kJ per mole of atoms
space group: P4/mbm

***

## BeHg2SbO (GGA-PBE)

Data for an optimized crystal structure of BeHg2SbO.

abc: 4.585 4.585 4.912
angles: 90.00 90.00 90.00
Fractional positions:
Be  0.000  0.000  0.000
Hg  0.000  0.500  0.000
Hg  0.500  0.000  0.000
Sb  0.000  0.000  0.500
O  0.500  0.500  0.500

VASP energy: -10.78 eV per cell
magnetization: 0.08 μB per formula unit
uncorrected formation energy: 50.8 kJ per mole of atoms
space group: P4/mmm

***

## BaNiCl2 (GGA-PBE)

Data for an optimized crystal structure of BaNiCl2.

abc: 5.799 5.799 5.799
angles: 46.86 46.86 46.86
Fractional positions:
Ba  0.000  0.000  0.000
Ni  0.500  0.500  0.500
Cl  0.228  0.228  0.228
Cl  0.772  0.772  0.772

VASP energy: -15.02 eV per cell
magnetization: 0.13 μB per formula unit
energy above the most stable polymorph in this dataset: 381 meV/atom
uncorrected formation energy: -87.5 kJ per mole of atoms
space group: R-3m